[1]
The following is a DFT calculation (GGA-PBE) of crystalline Ba2LaAl2S6 at its relaxed geometry.

Values from the calculation:
Its energy relative to the elements, uncorrected is -1552 meV/atom.

a = 6.916 Å, b = 6.916 Å, c = 8.156 Å
α = 110.75°, β = 110.75°, γ = 63.24°
Element x y z (fractional)
Ba 0.199 0.199 0.171
Ba 0.801 0.801 0.829
La 0.000 0.000 0.500
Al 0.460 0.460 0.673
Al 0.540 0.540 0.327
S 0.184 0.694 0.193
S 0.257 0.257 0.584
S 0.306 0.816 0.807
S 0.694 0.184 0.193
S 0.743 0.743 0.416
S 0.816 0.306 0.807

***

[2]
The following is a DFT calculation (GGA-PBE) of crystalline Ba2LaAl2Sb4 at its relaxed geometry.

Values from the calculation:
Its energy relative to the elements, uncorrected is -753 meV/atom.

a = 8.691 Å, b = 8.691 Å, c = 8.094 Å
α = 108.74°, β = 108.74°, γ = 31.99°
Element x y z (fractional)
Ba 0.132 0.132 0.070
Ba 0.868 0.868 0.930
La 0.000 0.000 0.500
Al 0.326 0.326 0.502
Al 0.674 0.674 0.498
Sb 0.209 0.209 0.687
Sb 0.480 0.480 0.760
Sb 0.520 0.520 0.240
Sb 0.791 0.791 0.313

***

[3]
The following is a DFT calculation (GGA-PBE) of crystalline Ba2LaAlSe5 at its relaxed geometry.

Values from the calculation:
Its energy relative to the elements, uncorrected is -1747 meV/atom.

a = 9.838 Å, b = 9.838 Å, c = 13.711 Å
α = 90.00°, β = 90.00°, γ = 154.64°
Element x y z (fractional)
Ba 0.119 0.881 0.500
Ba 0.124 0.876 0.150
Ba 0.876 0.124 0.650
Ba 0.881 0.119 0.000
La 0.200 0.800 0.846
La 0.800 0.200 0.346
Al 0.444 0.556 0.232
Al 0.556 0.444 0.732
Se 0.035 0.965 0.827
Se 0.299 0.701 0.493
Se 0.321 0.679 0.188
Se 0.350 0.650 0.826
Se 0.497 0.503 0.582
Se 0.503 0.497 0.082
Se 0.650 0.350 0.326
Se 0.679 0.321 0.688
Se 0.701 0.299 0.993
Se 0.965 0.035 0.327

***

[4]
The following is a DFT calculation (GGA-PBE) of crystalline BaLaAlSe4 at its relaxed geometry.

Values from the calculation:
Its energy relative to the elements, uncorrected is -1669 meV/atom.

a = 6.988 Å, b = 7.052 Å, c = 8.906 Å
α = 90.00°, β = 107.69°, γ = 90.00°
Element x y z (fractional)
Ba 0.242 0.250 0.435
Ba 0.758 0.750 0.565
La 0.271 0.250 0.945
La 0.729 0.750 0.055
Al 0.273 0.750 0.184
Al 0.727 0.250 0.816
Se 0.074 0.750 0.916
Se 0.079 0.750 0.362
Se 0.493 0.508 0.767
Se 0.493 0.992 0.767
Se 0.507 0.008 0.233
Se 0.507 0.492 0.233
Se 0.921 0.250 0.638
Se 0.926 0.250 0.084

***

[5]
The following is a DFT calculation (GGA-PBE) of crystalline BaLa2AlTc at its relaxed geometry.

Values from the calculation:
Its formation energy from the elements is -0.05 eV/atom.

a = 5.482 Å, b = 5.482 Å, c = 5.269 Å
α = 90.00°, β = 90.00°, γ = 90.00°
Element x y z (fractional)
Ba 0.000 0.000 0.000
La 0.000 0.500 0.500
La 0.500 0.000 0.500
Al 0.500 0.500 0.000
Tc 0.500 0.500 0.500

***

[6]
The following is a DFT calculation (GGA-PBE) of crystalline BaLaAl2Tc at its relaxed geometry.

Values from the calculation:
Its formation energy from the elements is -0.16 eV/atom.

a = 5.114 Å, b = 5.114 Å, c = 5.236 Å
α = 90.00°, β = 90.00°, γ = 90.00°
Element x y z (fractional)
Ba 0.000 0.000 0.000
La 0.500 0.500 0.000
Al 0.000 0.500 0.500
Al 0.500 0.000 0.500
Tc 0.500 0.500 0.500

***

[7]
The following is a DFT calculation (GGA-PBE) of crystalline BaLaAlTe4 at its relaxed geometry.

Values from the calculation:
Its energy relative to the elements, uncorrected is -1236 meV/atom.

a = 7.472 Å, b = 7.630 Å, c = 9.408 Å
α = 90.00°, β = 107.55°, γ = 90.00°
Element x y z (fractional)
Ba 0.239 0.250 0.058
Ba 0.761 0.750 0.942
La 0.234 0.250 0.558
La 0.766 0.750 0.442
Al 0.229 0.750 0.319
Al 0.771 0.250 0.681
Te 0.011 0.511 0.731
Te 0.011 0.989 0.731
Te 0.419 0.750 0.128
Te 0.433 0.750 0.596
Te 0.567 0.250 0.404
Te 0.581 0.250 0.872
Te 0.989 0.011 0.269
Te 0.989 0.489 0.269

***

[8]
The following is a DFT calculation (GGA-PBE) of crystalline BaLaAlTl at its relaxed geometry.

Values from the calculation:
Its formation energy from the elements is -0.20 eV/atom.

a = 5.738 Å, b = 5.738 Å, c = 5.738 Å
α = 60.00°, β = 60.00°, γ = 60.00°
Element x y z (fractional)
Ba 0.000 0.000 0.000
La 0.500 0.500 0.500
Al 0.750 0.750 0.750
Tl 0.250 0.250 0.250

***

[9]
The following is a DFT calculation (GGA-PBE) of crystalline BaLaAl2V at its relaxed geometry.

Values from the calculation:
Its formation energy from the elements is 1.36 eV/atom.

a = 5.600 Å, b = 5.600 Å, c = 4.967 Å
α = 90.00°, β = 90.00°, γ = 90.00°
Element x y z (fractional)
Ba 0.000 0.000 0.000
La 0.500 0.500 0.500
Al 0.000 0.500 0.000
Al 0.500 0.000 0.000
V 0.000 0.000 0.500

***

[10]
The following is a DFT calculation (GGA-PBE) of crystalline BaLi2Al at its relaxed geometry.

Values from the calculation:
Its formation energy from the elements is -0.03 eV/atom.

a = 4.846 Å, b = 4.846 Å, c = 6.561 Å
α = 111.53°, β = 111.53°, γ = 59.85°
Element x y z (fractional)
Ba 0.000 0.000 0.000
Li 0.510 0.510 0.530
Li 0.815 0.815 0.444
Al 0.199 0.199 0.597

***

[11]
The following is a DFT calculation (GGA-PBE) of crystalline BaLi2Al at its relaxed geometry.

Values from the calculation:
Its formation energy from the elements is 0.19 eV/atom.

a = 5.644 Å, b = 3.747 Å, c = 5.657 Å
α = 90.00°, β = 92.40°, γ = 90.00°
Element x y z (fractional)
Ba 0.000 0.000 0.000
Li 0.500 0.000 0.500
Li 0.500 0.500 0.000
Al 0.000 0.500 0.500

***

[12]
The following is a DFT calculation (GGA-PBE) of crystalline BaLi2Al at its relaxed geometry.

Values from the calculation:
Its formation energy from the elements is 0.12 eV/atom.

a = 10.273 Å, b = 10.273 Å, c = 10.273 Å
α = 150.51°, β = 150.51°, γ = 42.19°
Element x y z (fractional)
Ba 0.000 0.000 0.000
Ba 0.750 0.250 0.500
Li 0.373 0.625 0.248
Li 0.375 0.623 0.748
Li 0.377 0.125 0.752
Li 0.875 0.627 0.252
Al 0.250 0.750 0.500
Al 0.500 0.500 0.000

***

[13]
The following is a DFT calculation (GGA-PBE) of crystalline BaLi2Al at its relaxed geometry.

Values from the calculation:
Its formation energy from the elements is -0.05 eV/atom.

a = 6.363 Å, b = 6.363 Å, c = 6.363 Å
α = 44.29°, β = 44.29°, γ = 44.29°
Element x y z (fractional)
Ba 0.000 0.000 0.000
Li 0.195 0.195 0.195
Li 0.805 0.805 0.805
Al 0.500 0.500 0.500

***

[14]
The following is a DFT calculation (GGA-PBE) of crystalline Ba3LiAl at its relaxed geometry.

Values from the calculation:
Its formation energy from the elements is 0.19 eV/atom.

a = 6.652 Å, b = 6.652 Å, c = 6.652 Å
α = 90.00°, β = 90.00°, γ = 90.00°
Element x y z (fractional)
Ba 0.000 0.000 0.500
Ba 0.000 0.500 0.000
Ba 0.500 0.000 0.000
Li 0.500 0.500 0.500
Al 0.000 0.000 0.000

***

[15]
The following is a DFT calculation (GGA-PBE) of crystalline BaLi8Al2 at its relaxed geometry.

Values from the calculation:
Its formation energy from the elements is 0.23 eV/atom.

a = 11.099 Å, b = 11.099 Å, c = 11.099 Å
α = 151.71°, β = 151.71°, γ = 40.44°
Element x y z (fractional)
Ba 0.000 0.000 0.000
Li 0.096 0.096 0.501
Li 0.096 0.595 0.000
Li 0.405 0.405 0.501
Li 0.405 0.904 0.000
Li 0.595 0.096 0.000
Li 0.595 0.595 0.499
Li 0.904 0.405 0.000
Li 0.904 0.904 0.499
Al 0.250 0.750 0.500
Al 0.750 0.250 0.500

***

[16]
The following is a DFT calculation (GGA-PBE) of crystalline BaLi4Al at its relaxed geometry.

Values from the calculation:
Its formation energy from the elements is -0.02 eV/atom.

a = 5.826 Å, b = 5.826 Å, c = 5.826 Å
α = 60.00°, β = 60.00°, γ = 60.00°
Element x y z (fractional)
Ba 0.000 0.000 0.000
Li 0.379 0.379 0.379
Li 0.379 0.379 0.863
Li 0.379 0.863 0.379
Li 0.863 0.379 0.379
Al 0.750 0.750 0.750

***

[17]
The following is a DFT calculation (GGA-PBE) of crystalline Ba3LiAl8 at its relaxed geometry.

Values from the calculation:
Its formation energy from the elements is -0.13 eV/atom.

a = 10.238 Å, b = 10.238 Å, c = 10.238 Å
α = 33.66°, β = 33.66°, γ = 33.66°
Element x y z (fractional)
Ba 0.000 0.000 0.000
Ba 0.126 0.126 0.126
Ba 0.620 0.620 0.620
Li 0.494 0.494 0.494
Al 0.059 0.059 0.560
Al 0.059 0.560 0.059
Al 0.064 0.564 0.564
Al 0.314 0.314 0.314
Al 0.560 0.059 0.059
Al 0.564 0.064 0.564
Al 0.564 0.564 0.064
Al 0.810 0.810 0.810

***

[18]
The following is a DFT calculation (GGA-PBE) of crystalline Ba4Li2Al at its relaxed geometry.

Values from the calculation:
Its formation energy from the elements is 0.04 eV/atom.

a = 10.433 Å, b = 10.433 Å, c = 10.433 Å
α = 33.58°, β = 33.58°, γ = 33.58°
Element x y z (fractional)
Ba 0.122 0.122 0.122
Ba 0.373 0.373 0.373
Ba 0.627 0.627 0.627
Ba 0.878 0.878 0.878
Li 0.255 0.255 0.255
Li 0.745 0.745 0.745
Al 0.000 0.000 0.000

***

[19]
The following is a DFT calculation (GGA-PBE) of crystalline BaLi2Al at its relaxed geometry.

Values from the calculation:
Its formation energy from the elements is -0.05 eV/atom.

a = 5.551 Å, b = 4.574 Å, c = 9.596 Å
α = 90.00°, β = 101.18°, γ = 90.00°
Element x y z (fractional)
Ba 0.185 0.250 0.334
Ba 0.815 0.750 0.666
Li 0.107 0.250 0.971
Li 0.383 0.250 0.768
Li 0.617 0.750 0.232
Li 0.893 0.750 0.029
Al 0.372 0.750 0.951
Al 0.628 0.250 0.049

***

[20]
The following is a DFT calculation (GGA-PBE) of crystalline BaLiAl4 at its relaxed geometry.

Values from the calculation:
Its formation energy from the elements is -0.06 eV/atom.

a = 5.785 Å, b = 5.785 Å, c = 5.785 Å
α = 60.00°, β = 60.00°, γ = 60.00°
Element x y z (fractional)
Ba 0.000 0.000 0.000
Li 0.750 0.750 0.750
Al 0.375 0.375 0.375
Al 0.375 0.375 0.875
Al 0.375 0.875 0.375
Al 0.875 0.375 0.375

***

[21]
The following is a DFT calculation (GGA-PBE) of crystalline BaLi2Al at its relaxed geometry.

Values from the calculation:
Its formation energy from the elements is 0.09 eV/atom.

a = 3.771 Å, b = 3.771 Å, c = 7.561 Å
α = 90.00°, β = 90.00°, γ = 90.00°
Element x y z (fractional)
Ba 0.000 0.000 0.000
Li 0.500 0.500 0.332
Li 0.500 0.500 0.668
Al 0.000 0.000 0.500

***

[22]
The following is a DFT calculation (GGA-PBE) of crystalline BaLi2Al at its relaxed geometry.

Values from the calculation:
Its formation energy from the elements is 0.21 eV/atom.

a = 6.456 Å, b = 6.456 Å, c = 3.641 Å
α = 104.84°, β = 104.84°, γ = 117.15°
Element x y z (fractional)
Ba 0.000 0.000 0.000
Li 0.000 0.500 0.500
Li 0.500 0.000 0.500
Al 0.500 0.500 0.000

***

[23]
The following is a DFT calculation (GGA-PBE) of crystalline Ba2Li4Al3 at its relaxed geometry.

Values from the calculation:
Its formation energy from the elements is -0.10 eV/atom.

a = 9.304 Å, b = 8.252 Å, c = 5.942 Å
α = 80.11°, β = 60.90°, γ = 38.99°
Element x y z (fractional)
Ba 0.131 0.131 0.869
Ba 0.869 0.869 0.131
Li 0.164 0.524 0.476
Li 0.476 0.836 0.164
Li 0.524 0.164 0.836
Li 0.836 0.476 0.524
Al 0.000 0.000 0.500
Al 0.500 0.500 0.000
Al 0.500 0.500 0.500

***

[24]
The following is a DFT calculation (GGA-PBE) of crystalline BaLi4Al2 at its relaxed geometry.

Values from the calculation:
Its formation energy from the elements is -0.08 eV/atom.

a = 5.867 Å, b = 5.867 Å, c = 5.867 Å
α = 122.29°, β = 103.54°, γ = 103.40°
Element x y z (fractional)
Ba 0.000 0.000 0.000
Li 0.000 0.307 0.694
Li 0.000 0.693 0.306
Li 0.387 0.693 0.694
Li 0.613 0.307 0.306
Al 0.500 0.250 0.750
Al 0.500 0.750 0.250

***

[25]
The following is a DFT calculation (GGA-PBE) of crystalline BaLi2Al at its relaxed geometry.

Values from the calculation:
Its formation energy from the elements is 0.09 eV/atom.

a = 3.737 Å, b = 5.006 Å, c = 6.273 Å
α = 90.00°, β = 95.97°, γ = 90.00°
Element x y z (fractional)
Ba 0.000 0.000 0.000
Li 0.289 0.500 0.657
Li 0.711 0.500 0.343
Al 0.500 0.000 0.500

***

no.,total magnetic moment (Bohr magnetons per cell)
1,1.00
2,0.00
3,0.00
4,0.00
5,0.00
6,0.00
7,0.00
8,0.00
9,0.30
10,0.00
11,0.00
12,0.00
13,0.00
14,0.00
15,0.00
16,0.00
17,0.00
18,0.00
19,0.00
20,0.00
21,0.00
22,0.00
23,0.00
24,0.00
25,0.00